Density functional theory data (PBE) for a relaxed structure of Ho2BeTl.

Properties
VASP energy = -0.28907 Ry per atom
DOS at the Fermi energy = 1.85 states/eV/cell
magnetic moment = 0.0 Bohr magnetons per cell

a = 3.5352 Å, b = 3.5352 Å, c = 7.3975 Å
α = 90.00°, β = 90.00°, γ = 90.00°
Space group P4/mmm (No. 123)
Symmetry-distinct sites (fractional):
Ho (0.0000, 0.0000, 0.2176) (multiplicity 2)
Be (0.5000, 0.5000, 0.0000) (multiplicity 1)
Tl (0.5000, 0.5000, 0.5000) (multiplicity 1)